1.
Pa6PS8: optimized geometry, PBE.

Summary:
- Total energy: -7.9526 eV per atom

```
data_Pa6PS8
_symmetry_space_group_name_H-M 'R -3'
_symmetry_Int_Tables_number 148
_symmetry_space_group_name_Hall '-R 3'
_cell_length_a 6.8116
_cell_length_b 6.8116
_cell_length_c 29.4239
_cell_angle_alpha 90.00
_cell_angle_beta 90.00
_cell_angle_gamma 120.00
loop_
_atom_site_label
_atom_site_fract_x
_atom_site_fract_y
_atom_site_fract_z
Pa1 0.0000 0.3343 0.4466
P1 0.0000 0.0000 0.5000
S1 0.0000 0.0000 0.1667
S2 0.0000 0.3316 0.6039
```


2.
KAgAsAu2: optimized geometry, PBE.

Summary:
- E_form: -0.08 eV/atom

```
data_KAgAsAu2
_symmetry_space_group_name_H-M 'P 4/m m m'
_symmetry_Int_Tables_number 123
_symmetry_space_group_name_Hall '-P 4 2'
_cell_length_a 5.127
_cell_length_b 5.127
_cell_length_c 5.064
_cell_angle_alpha 90.00
_cell_angle_beta 90.00
_cell_angle_gamma 90.00
loop_
_atom_site_label
_atom_site_fract_x
_atom_site_fract_y
_atom_site_fract_z
K1 0.000 0.000 0.000
Ag1 0.500 0.500 0.000
As1 0.500 0.500 0.500
Au1 0.000 0.500 0.500
```


3.
Y2Ho3Tm7: optimized geometry, PBE.

Summary:
- Distance to the lowest polymorph of the same formula: 0.0320 eV per atom
- E_form: 0.12 eV/atom

```
data_Y2Ho3Tm7
_symmetry_space_group_name_H-M 'C m m m'
_symmetry_Int_Tables_number 65
_symmetry_space_group_name_Hall '-C 2 2'
_cell_length_a 5.605
_cell_length_b 37.348
_cell_length_c 3.559
_cell_angle_alpha 90.00
_cell_angle_beta 90.00
_cell_angle_gamma 90.00
loop_
_atom_site_label
_atom_site_fract_x
_atom_site_fract_y
_atom_site_fract_z
Y1 0.000 0.147 0.000
Ho1 0.000 0.314 0.500
Ho2 0.000 0.500 0.500
Tm1 0.000 0.000 0.000
Tm2 0.000 0.071 0.500
Tm3 0.000 0.231 0.000
Tm4 0.000 0.409 0.000
```


4.
Ga12Sn3Se5: optimized geometry, PBE.

Summary:
- Total energy: -3.3517 eV per atom

```
data_Ga12Sn3Se5
_symmetry_space_group_name_H-M 'I a -3 d'
_symmetry_Int_Tables_number 230
_symmetry_space_group_name_Hall '-I 4bd 2c 3'
_cell_length_a 16.339
_cell_length_b 16.339
_cell_length_c 16.339
_cell_angle_alpha 90.00
_cell_angle_beta 90.00
_cell_angle_gamma 90.00
loop_
_atom_site_label
_atom_site_fract_x
_atom_site_fract_y
_atom_site_fract_z
Ga1 0.013 0.070 0.657
Sn1 0.000 0.250 0.125
Se1 0.000 0.000 0.000
Se2 0.000 0.250 0.375
```


5.
RbNaCd3: optimized geometry, PBE.

Summary:
- Distance to the lowest polymorph of the same formula: 0.2337 eV per atom
- E_form: 0.16 eV/atom

```
data_RbNaCd3
_symmetry_space_group_name_H-M 'P m -3 m'
_symmetry_Int_Tables_number 221
_symmetry_space_group_name_Hall '-P 4 2 3'
_cell_length_a 5.858
_cell_length_b 5.858
_cell_length_c 5.858
_cell_angle_alpha 90.00
_cell_angle_beta 90.00
_cell_angle_gamma 90.00
loop_
_atom_site_label
_atom_site_fract_x
_atom_site_fract_y
_atom_site_fract_z
Rb1 0.000 0.000 0.000
Na1 0.500 0.500 0.500
Cd1 0.000 0.500 0.500
```


6.
ZrTcRh: optimized geometry, PBE.

Summary:
- Distance to the lowest polymorph of the same formula: 0.0619 eV per atom
- E_form: -0.14 eV/atom

```
data_ZrTcRh
_symmetry_space_group_name_H-M 'I 4 m m'
_symmetry_Int_Tables_number 107
_symmetry_space_group_name_Hall 'I 4 -2'
_cell_length_a 3.299
_cell_length_b 3.299
_cell_length_c 9.302
_cell_angle_alpha 90.00
_cell_angle_beta 90.00
_cell_angle_gamma 90.00
loop_
_atom_site_label
_atom_site_fract_x
_atom_site_fract_y
_atom_site_fract_z
Zr1 0.000 0.000 0.000
Tc1 0.000 0.000 0.334
Rh1 0.000 0.000 0.667
```


7.
La4SnPb: optimized geometry, PBE.

Summary:
- Distance to the lowest polymorph of the same formula: 0.0000 eV per atom
- E_form: -0.41 eV/atom

```
data_La4SnPb
_symmetry_space_group_name_H-M 'C 1 2/m 1'
_symmetry_Int_Tables_number 12
_cell_length_a 9.401
_cell_length_b 5.433
_cell_length_c 9.444
_cell_angle_alpha 90.00
_cell_angle_beta 109.49
_cell_angle_gamma 90.00
loop_
_symmetry_equiv_pos_as_xyz
'x,y,z'
'-x,-y,-z'
'-x,y,-z'
'x,-y,z'
'x+1/2,y+1/2,z'
'-x+1/2,-y+1/2,-z'
'-x+1/2,y+1/2,-z'
'x+1/2,-y+1/2,z'
loop_
_atom_site_label
_atom_site_fract_x
_atom_site_fract_y
_atom_site_fract_z
La1 0.123 0.000 0.370
La2 0.126 0.500 0.878
Sn1 0.000 0.000 0.000
Pb1 0.000 0.500 0.500
```


8.
Hf2PbSe: optimized geometry, PBE.

Summary:
- Distance to the lowest polymorph of the same formula: 0.1896 eV per atom

```
data_Hf2PbSe
_symmetry_space_group_name_H-M 'F m -3 m'
_symmetry_Int_Tables_number 225
_symmetry_space_group_name_Hall '-F 4 2 3'
_cell_length_a 6.991
_cell_length_b 6.991
_cell_length_c 6.991
_cell_angle_alpha 90.00
_cell_angle_beta 90.00
_cell_angle_gamma 90.00
loop_
_atom_site_label
_atom_site_fract_x
_atom_site_fract_y
_atom_site_fract_z
Hf1 0.250 0.250 0.250
Pb1 0.000 0.000 0.000
Se1 0.000 0.000 0.500
```


9.
BeCd2As: optimized geometry, PBE.

Summary:
- Distance to the lowest polymorph of the same formula: 0.0297 eV per atom
- E_form: 0.17 eV/atom

```
data_BeCd2As
_symmetry_space_group_name_H-M 'I m m m'
_symmetry_Int_Tables_number 71
_symmetry_space_group_name_Hall '-I 2 2'
_cell_length_a 3.204
_cell_length_b 3.574
_cell_length_c 13.212
_cell_angle_alpha 90.00
_cell_angle_beta 90.00
_cell_angle_gamma 90.00
loop_
_atom_site_label
_atom_site_fract_x
_atom_site_fract_y
_atom_site_fract_z
Be1 0.000 0.000 0.000
Cd1 0.000 0.500 0.321
As1 0.000 0.000 0.500
```


10.
Nd4Dy2TmSc: optimized geometry, PBE.

Summary:
- E_form: 0.01 eV/atom

```
data_Nd4Dy2TmSc
_symmetry_space_group_name_H-M 'P 1 2/m 1'
_symmetry_Int_Tables_number 10
_cell_length_a 5.067
_cell_length_b 5.113
_cell_length_c 9.922
_cell_angle_alpha 90.00
_cell_angle_beta 90.01
_cell_angle_gamma 90.00
loop_
_symmetry_equiv_pos_as_xyz
'x,y,z'
'-x,-y,-z'
'-x,y,-z'
'x,-y,z'
loop_
_atom_site_label
_atom_site_fract_x
_atom_site_fract_y
_atom_site_fract_z
Nd1 0.002 0.000 0.246
Nd2 0.498 0.500 0.754
Dy1 0.000 0.500 0.000
Dy2 0.500 0.000 0.500
Tm1 0.000 0.500 0.500
Sc1 0.500 0.000 0.000
```


11.
BaAgGeAu2: optimized geometry, PBE.

Summary:
- E_form: -0.33 eV/atom

```
data_BaAgGeAu2
_symmetry_space_group_name_H-M 'P 4/m m m'
_symmetry_Int_Tables_number 123
_symmetry_space_group_name_Hall '-P 4 2'
_cell_length_a 5.164
_cell_length_b 5.164
_cell_length_c 4.990
_cell_angle_alpha 90.00
_cell_angle_beta 90.00
_cell_angle_gamma 90.00
loop_
_atom_site_label
_atom_site_fract_x
_atom_site_fract_y
_atom_site_fract_z
Ba1 0.000 0.000 0.000
Ag1 0.500 0.500 0.000
Ge1 0.500 0.500 0.500
Au1 0.000 0.500 0.500
```


Copy entry 3 word for word.
Y2Ho3Tm7: optimized geometry, PBE.

Summary:
- Distance to the lowest polymorph of the same formula: 0.0320 eV per atom
- E_form: 0.12 eV/atom

```
data_Y2Ho3Tm7
_symmetry_space_group_name_H-M 'C m m m'
_symmetry_Int_Tables_number 65
_symmetry_space_group_name_Hall '-C 2 2'
_cell_length_a 5.605
_cell_length_b 37.348
_cell_length_c 3.559
_cell_angle_alpha 90.00
_cell_angle_beta 90.00
_cell_angle_gamma 90.00
loop_
_atom_site_label
_atom_site_fract_x
_atom_site_fract_y
_atom_site_fract_z
Y1 0.000 0.147 0.000
Ho1 0.000 0.314 0.500
Ho2 0.000 0.500 0.500
Tm1 0.000 0.000 0.000
Tm2 0.000 0.071 0.500
Tm3 0.000 0.231 0.000
Tm4 0.000 0.409 0.000
```